(1)
A geometry-optimized Li3In2P3O12 structure, computed with PBE.

Results
- space group = No. 14
- Fermi-level density of states (states/eV/f.u.) = 0.000
- ΔE_f (raw) (eV/atom) = -2.1656
- energy (eV per atom) = -6.5129

Cell lengths 8.703, 8.998, 15.187 Å; angles 90.00, 124.94, 90.00 degrees
Fractional coordinates of all 80 atoms:
Li (0.002, 0.218, 0.180)
Li (0.002, 0.282, 0.680)
Li (0.283, 0.012, 0.848)
Li (0.283, 0.488, 0.348)
Li (0.399, 0.085, 0.314)
Li (0.399, 0.415, 0.814)
Li (0.601, 0.585, 0.186)
Li (0.601, 0.915, 0.686)
Li (0.717, 0.512, 0.652)
Li (0.717, 0.988, 0.152)
Li (0.998, 0.718, 0.320)
Li (0.998, 0.782, 0.820)
In (0.137, 0.039, 0.397)
In (0.137, 0.461, 0.897)
In (0.338, 0.031, 0.102)
In (0.338, 0.469, 0.602)
In (0.662, 0.531, 0.398)
In (0.662, 0.969, 0.898)
In (0.863, 0.539, 0.103)
In (0.863, 0.961, 0.603)
P (0.037, 0.607, 0.654)
P (0.037, 0.893, 0.154)
P (0.268, 0.120, 0.657)
P (0.268, 0.380, 0.157)
P (0.445, 0.748, 0.492)
P (0.445, 0.752, 0.992)
P (0.555, 0.248, 0.008)
P (0.555, 0.252, 0.508)
P (0.732, 0.620, 0.843)
P (0.732, 0.880, 0.343)
P (0.963, 0.107, 0.846)
P (0.963, 0.393, 0.346)
O (0.017, 0.739, 0.193)
O (0.017, 0.761, 0.693)
O (0.132, 0.007, 0.249)
O (0.132, 0.493, 0.749)
O (0.135, 0.078, 0.693)
O (0.135, 0.422, 0.193)
O (0.146, 0.615, 0.603)
O (0.146, 0.885, 0.103)
O (0.164, 0.098, 0.537)
O (0.164, 0.402, 0.037)
O (0.166, 0.043, 0.928)
O (0.166, 0.457, 0.428)
O (0.245, 0.688, 0.939)
O (0.245, 0.812, 0.439)
O (0.302, 0.209, 0.182)
O (0.302, 0.291, 0.682)
O (0.407, 0.128, 0.447)
O (0.407, 0.372, 0.947)
O (0.449, 0.027, 0.722)
O (0.449, 0.473, 0.222)
O (0.452, 0.669, 0.403)
O (0.452, 0.831, 0.903)
O (0.490, 0.637, 0.582)
O (0.490, 0.863, 0.082)
O (0.510, 0.137, 0.918)
O (0.510, 0.363, 0.418)
O (0.548, 0.169, 0.097)
O (0.548, 0.331, 0.597)
O (0.551, 0.527, 0.778)
O (0.551, 0.973, 0.278)
O (0.593, 0.628, 0.053)
O (0.593, 0.872, 0.553)
O (0.698, 0.709, 0.318)
O (0.698, 0.791, 0.818)
O (0.755, 0.188, 0.561)
O (0.755, 0.312, 0.061)
O (0.834, 0.543, 0.572)
O (0.834, 0.957, 0.072)
O (0.836, 0.598, 0.963)
O (0.836, 0.902, 0.463)
O (0.854, 0.115, 0.897)
O (0.854, 0.385, 0.397)
O (0.865, 0.578, 0.807)
O (0.865, 0.922, 0.307)
O (0.868, 0.507, 0.251)
O (0.868, 0.993, 0.751)
O (0.983, 0.239, 0.307)
O (0.983, 0.261, 0.807)



(2)
A geometry-optimized CsThTlTe3 structure, computed with PBE.

Results
- space group = No. 11
- ΔE_f (raw) (eV/atom) = -0.9982
- energy (eV per atom) = -4.3423

Cell lengths 10.512, 4.647, 11.110 Å; angles 90.00, 100.35, 90.00 degrees
Fractional coordinates of all 12 atoms:
Cs (0.194, 0.250, 0.255)
Cs (0.806, 0.750, 0.745)
Th (0.349, 0.750, 0.851)
Th (0.651, 0.250, 0.149)
Tl (0.103, 0.250, 0.590)
Tl (0.897, 0.750, 0.410)
Te (0.151, 0.250, 0.879)
Te (0.308, 0.750, 0.574)
Te (0.443, 0.750, 0.143)
Te (0.557, 0.250, 0.857)
Te (0.692, 0.250, 0.426)
Te (0.849, 0.750, 0.121)



(3)
A geometry-optimized SmMg9Pd2 structure, computed with PBE.

Results
- space group = No. 141
- Fermi-level density of states (states/eV/f.u.) = 8.644
- formation energy from the elements (eV/atom) = -0.2834
- energy (eV per atom) = -2.7381

Cell lengths 9.093, 9.093, 9.093 Å; angles 99.92, 99.92, 130.97 degrees
Fractional coordinates of all 24 atoms:
Sm (0.375, 0.625, 0.750)
Sm (0.625, 0.375, 0.250)
Mg (0.125, 0.875, 0.250)
Mg (0.134, 0.565, 0.325)
Mg (0.134, 0.809, 0.569)
Mg (0.191, 0.260, 0.325)
Mg (0.191, 0.866, 0.931)
Mg (0.260, 0.191, 0.825)
Mg (0.260, 0.435, 0.069)
Mg (0.435, 0.260, 0.569)
Mg (0.435, 0.866, 0.175)
Mg (0.565, 0.134, 0.825)
Mg (0.565, 0.740, 0.431)
Mg (0.740, 0.565, 0.931)
Mg (0.740, 0.809, 0.175)
Mg (0.809, 0.134, 0.069)
Mg (0.809, 0.740, 0.675)
Mg (0.866, 0.191, 0.431)
Mg (0.866, 0.435, 0.675)
Mg (0.875, 0.125, 0.750)
Pd (0.000, 0.000, 0.000)
Pd (0.000, 0.000, 0.500)
Pd (0.000, 0.500, 0.000)
Pd (0.500, 0.000, 0.500)



(4)
A geometry-optimized Ho3Be2Ni7 structure, computed with PBE.

Results
- space group = No. 166
- Fermi-level density of states (states/eV/f.u.) = 5.065
- formation energy from the elements (eV/atom) = -0.4836
- energy (eV per atom) = -5.6215

Cell lengths 8.064, 8.064, 8.064 Å; angles 36.37, 36.37, 36.37 degrees
Fractional coordinates of all 12 atoms:
Ho (0.000, 0.000, 0.000)
Ho (0.141, 0.141, 0.141)
Ho (0.859, 0.859, 0.859)
Be (0.333, 0.333, 0.333)
Be (0.667, 0.667, 0.667)
Ni (0.077, 0.575, 0.575)
Ni (0.425, 0.425, 0.923)
Ni (0.425, 0.923, 0.425)
Ni (0.500, 0.500, 0.500)
Ni (0.575, 0.077, 0.575)
Ni (0.575, 0.575, 0.077)
Ni (0.923, 0.425, 0.425)



(5)
A geometry-optimized Pr2B7Rh12 structure, computed with PBE.

Results
- space group = No. 174
- Fermi-level density of states (states/eV/f.u.) = 9.233
- formation energy from the elements (eV/atom) = -0.4145
- energy (eV per atom) = -7.2963

Cell lengths 9.000, 9.000, 3.896 Å; angles 90.00, 90.00, 120.00 degrees
Fractional coordinates of all 21 atoms:
Pr (0.000, 0.000, 0.000)
Pr (0.333, 0.667, 0.500)
B (0.088, 0.429, 0.000)
B (0.282, 0.236, 0.500)
B (0.341, 0.912, 0.000)
B (0.571, 0.659, 0.000)
B (0.667, 0.333, 0.000)
B (0.764, 0.045, 0.500)
B (0.955, 0.718, 0.500)
Rh (0.064, 0.286, 0.500)
Rh (0.090, 0.687, 0.000)
Rh (0.222, 0.936, 0.500)
Rh (0.313, 0.403, 0.000)
Rh (0.401, 0.168, 0.000)
Rh (0.540, 0.417, 0.500)
Rh (0.583, 0.123, 0.500)
Rh (0.597, 0.910, 0.000)
Rh (0.714, 0.778, 0.500)
Rh (0.767, 0.599, 0.000)
Rh (0.832, 0.233, 0.000)
Rh (0.877, 0.460, 0.500)



(6)
A geometry-optimized RbZrNi2 structure, computed with PBE.

Results
- space group = No. 225
- Fermi-level density of states (states/eV/f.u.) = 3.109
- formation energy from the elements (eV/atom) = 0.8222
- energy (eV per atom) = -4.4474

Cell lengths 4.808, 4.808, 4.808 Å; angles 60.00, 60.00, 60.00 degrees
Fractional coordinates of all 4 atoms:
Rb (0.000, 0.000, 0.000)
Zr (0.500, 0.500, 0.500)
Ni (0.250, 0.250, 0.250)
Ni (0.750, 0.750, 0.750)



(7)
A geometry-optimized Hg2PCl structure, computed with PBE.

Results
- space group = No. 10
- Fermi-level density of states (states/eV/f.u.) = 1.933
- ΔE_f (raw) (eV/atom) = 0.0946
- energy (eV per atom) = -1.8704

Cell lengths 4.878, 4.266, 5.719 Å; angles 90.00, 115.14, 90.00 degrees
Fractional coordinates of all 4 atoms:
Hg (0.167, 0.000, 0.331)
Hg (0.833, 0.000, 0.669)
P (0.000, 0.500, 0.000)
Cl (0.500, 0.500, 0.000)



(8)
A geometry-optimized PuCoSn2 structure, computed with PBE.

Results
- space group = No. 123
- Fermi-level density of states (states/eV/f.u.) = 5.009
- formation energy from the elements (eV/atom) = -0.1486
- energy (eV per atom) = -7.5094

Cell lengths 3.251, 3.251, 7.710 Å; angles 90.00, 90.00, 90.00 degrees
Fractional coordinates of all 4 atoms:
Pu (0.000, 0.000, 0.000)
Co (0.000, 0.000, 0.500)
Sn (0.500, 0.500, 0.301)
Sn (0.500, 0.500, 0.699)



- energy of number 4 (Ho3Be2Ni7)?
  -5.6215 eV per atom